No. 1
Below is VTe6Pd2 after structural relaxation, with properties calculated at the PBE-GGA level.

Results
The calculation puts the uncorrected energy at -4.512 eV/atom. The calculation puts the relative energy among the computed polymorphs at 1.43 kJ per mole of atoms. The calculation puts the mass density at 6.743 g/cm3. As for the size of the total moment: 1.88 μB/f.u. Its crystal system is monoclinic. For the density of states at the Fermi level, the calculation gives 0.666 states/eV/atom.

Structure (CIF):
```
data_VTe6Pd2
_chemical_formula_sum 'V2 Te12 Pd4'
_space_group_name_H-M_alt 'C 1 2/m 1'
_space_group_IT_number 12
_cell_length_a 11.934
_cell_length_b 4.161
_cell_length_c 11.755
_cell_angle_alpha 90.00
_cell_angle_beta 119.71
_cell_angle_gamma 90.00
loop_
_space_group_symop_operation_xyz
'x,y,z'
'-x,-y,-z'
'-x,y,-z'
'x,-y,z'
'x+1/2,y+1/2,z'
'-x+1/2,-y+1/2,-z'
'-x+1/2,y+1/2,-z'
'x+1/2,-y+1/2,z'
loop_
_atom_site_label
_atom_site_type_symbol
_atom_site_fract_x
_atom_site_fract_y
_atom_site_fract_z
V1 V 0.000 0.000 0.000
Te1 Te 0.068 0.500 0.894
Te2 Te 0.109 0.000 0.443
Te3 Te 0.235 0.000 0.228
Pd1 Pd 0.163 0.500 0.331
```

=====

No. 2
Below is Dy6ErIn2 after structural relaxation, with properties calculated at the PBE-GGA level.

Results
The calculation puts the uncorrected energy at -3.853 eV/atom. For the formation energy, the calculation gives 0.331 eV/atom. The calculation puts the relative energy among the computed polymorphs at 51.60 kJ per mole of atoms. The calculation puts the mass density at 7.667 g/cm3. As for the size of the total moment: 0.00 μB/f.u. Its crystal system is tetragonal. For the density of states at the Fermi level, the calculation gives 1.393 states/eV/atom.

Structure (CIF):
```
data_Dy6ErIn2
_chemical_formula_sum 'Dy12 Er2 In4'
_space_group_name_H-M_alt 'I -4 2 m'
_space_group_IT_number 121
_space_group_name_Hall 'I -4 2'
_cell_length_a 6.258
_cell_length_b 6.258
_cell_length_c 15.174
_cell_angle_alpha 90.00
_cell_angle_beta 90.00
_cell_angle_gamma 90.00
loop_
_atom_site_label
_atom_site_type_symbol
_atom_site_fract_x
_atom_site_fract_y
_atom_site_fract_z
Dy1 Dy 0.000 0.500 0.250
Dy2 Dy 0.178 0.178 0.087
Er1 Er 0.000 0.000 0.500
In1 In 0.000 0.000 0.288
```

=====

No. 3
Below is SrGaS2Cl after structural relaxation, with properties calculated at the PBE-GGA level.

Results
The calculation puts the uncorrected energy at -3.360 eV/atom. The calculation puts the relative energy among the computed polymorphs at 70.71 kJ per mole of atoms. The calculation puts the mass density at 2.319 g/cm3. As for the size of the total moment: 2.01 μB/f.u. Its crystal system is tetragonal. For the density of states at the Fermi level, the calculation gives 1.054 states/eV/atom.

Structure (CIF):
```
data_SrGaS2Cl
_chemical_formula_sum 'Sr1 Ga1 S2 Cl1'
_space_group_name_H-M_alt 'P 4/m m m'
_space_group_IT_number 123
_space_group_name_Hall '-P 4 2'
_cell_length_a 5.726
_cell_length_b 5.726
_cell_length_c 5.612
_cell_angle_alpha 90.00
_cell_angle_beta 90.00
_cell_angle_gamma 90.00
loop_
_atom_site_label
_atom_site_type_symbol
_atom_site_fract_x
_atom_site_fract_y
_atom_site_fract_z
Sr1 Sr 0.000 0.000 0.000
Ga1 Ga 0.500 0.500 0.500
S1 S 0.000 0.500 0.000
Cl1 Cl 0.000 0.000 0.500
```

=====

No. 4
Below is Li2Y2HoIn2 after structural relaxation, with properties calculated at the PBE-GGA level.

Results
The calculation puts the uncorrected energy at -4.066 eV/atom. For the formation energy, the calculation gives -0.236 eV/atom. The calculation puts the mass density at 5.412 g/cm3. As for the size of the total moment: 0.00 μB/f.u. Its crystal system is trigonal. For the density of states at the Fermi level, the calculation gives 0.734 states/eV/atom.

Structure (CIF):
```
data_Li2Y2HoIn2
_chemical_formula_sum 'Li6 Y6 Ho3 In6'
_space_group_name_H-M_alt 'R -3 m'
_space_group_IT_number 166
_space_group_name_Hall '-R 3 2"'
_cell_length_a 4.8307
_cell_length_b 4.8307
_cell_length_c 26.7011
_cell_angle_alpha 90.00
_cell_angle_beta 90.00
_cell_angle_gamma 120.00
loop_
_atom_site_label
_atom_site_type_symbol
_atom_site_fract_x
_atom_site_fract_y
_atom_site_fract_z
Li1 Li 0.0000 0.0000 0.1053
Y1 Y 0.0000 0.0000 0.3731
Ho1 Ho 0.0000 0.0000 0.5000
In1 In 0.0000 0.0000 0.2372
```

=====

No. 5
Below is Ho4NiHg after structural relaxation, with properties calculated at the PBE-GGA level.

Results
The calculation puts the uncorrected energy at -4.240 eV/atom. For the formation energy, the calculation gives -0.174 eV/atom. The calculation puts the relative energy among the computed polymorphs at 17.66 kJ per mole of atoms. The calculation puts the mass density at 9.004 g/cm3. As for the size of the total moment: 0.00 μB/f.u. Its crystal system is monoclinic. For the density of states at the Fermi level, the calculation gives 1.282 states/eV/atom.

Structure (CIF):
```
data_Ho4NiHg
_chemical_formula_sum 'Ho8 Ni2 Hg2'
_space_group_name_H-M_alt 'P 1 21/c 1'
_space_group_IT_number 14
_cell_length_a 6.985
_cell_length_b 7.070
_cell_length_c 6.891
_cell_angle_alpha 90.00
_cell_angle_beta 95.07
_cell_angle_gamma 90.00
loop_
_space_group_symop_operation_xyz
'x,y,z'
'-x,-y,-z'
'-x,y+1/2,-z+1/2'
'x,-y+1/2,z+1/2'
loop_
_atom_site_label
_atom_site_type_symbol
_atom_site_fract_x
_atom_site_fract_y
_atom_site_fract_z
Ho1 Ho 0.145 0.166 0.187
Ho2 Ho 0.321 0.647 0.113
Ni1 Ni 0.000 0.000 0.500
Hg1 Hg 0.500 0.000 0.000
```

=====

No. 6
Below is Tb2ZnCu12Ni3 after structural relaxation, with properties calculated at the PBE-GGA level.

Results
The calculation puts the uncorrected energy at -4.271 eV/atom. For the formation energy, the calculation gives 0.008 eV/atom. The calculation puts the mass density at 8.684 g/cm3. As for the size of the total moment: 0.00 μB/f.u. Its crystal system is trigonal. For the density of states at the Fermi level, the calculation gives 0.444 states/eV/atom.

Structure (CIF):
```
data_Tb2ZnCu12Ni3
_chemical_formula_sum 'Tb6 Zn3 Cu36 Ni9'
_space_group_name_H-M_alt 'R -3 m'
_space_group_IT_number 166
_space_group_name_Hall '-R 3 2"'
_cell_length_a 8.4442
_cell_length_b 8.4442
_cell_length_c 12.2801
_cell_angle_alpha 90.00
_cell_angle_beta 90.00
_cell_angle_gamma 120.00
loop_
_atom_site_label
_atom_site_type_symbol
_atom_site_fract_x
_atom_site_fract_y
_atom_site_fract_z
Tb1 Tb 0.0000 0.0000 0.2461
Zn1 Zn 0.0000 0.0000 0.5000
Cu1 Cu 0.0147 0.5074 0.2068
Cu2 Cu 0.0489 0.5245 0.6006
Ni1 Ni 0.0000 0.5000 0.0000
```

=====

No. 7
Below is CoPBr2 after structural relaxation, with properties calculated at the PBE-GGA level.

Results
The calculation puts the uncorrected energy at -3.960 eV/atom. The calculation puts the relative energy among the computed polymorphs at 32.54 kJ per mole of atoms. The calculation puts the mass density at 4.971 g/cm3. As for the size of the total moment: 0.00 μB/f.u. Its crystal system is monoclinic. For the density of states at the Fermi level, the calculation gives 0.581 states/eV/atom.

Structure (CIF):
```
data_CoPBr2
_chemical_formula_sum 'Co1 P1 Br2'
_space_group_name_H-M_alt 'P 1 m 1'
_space_group_IT_number 6
_cell_length_a 4.912
_cell_length_b 3.466
_cell_length_c 5.209
_cell_angle_alpha 90.00
_cell_angle_beta 109.82
_cell_angle_gamma 90.00
loop_
_space_group_symop_operation_xyz
'x,y,z'
'x,-y,z'
loop_
_atom_site_label
_atom_site_type_symbol
_atom_site_fract_x
_atom_site_fract_y
_atom_site_fract_z
Co1 Co 0.000 0.000 0.000
P1 P 0.120 0.500 0.264
Br1 Br 0.485 0.000 0.918
Br2 Br 0.840 0.500 0.573
```

=====

No. 8
Below is GdZrPa after structural relaxation, with properties calculated at the PBE-GGA level.

Results
The calculation puts the uncorrected energy at -10.494 eV/atom. For the formation energy, the calculation gives 0.215 eV/atom. The calculation puts the relative energy among the computed polymorphs at 4.56 kJ per mole of atoms. The calculation puts the mass density at 10.294 g/cm3. As for the size of the total moment: 6.74 μB/f.u. Its crystal system is hexagonal. For the density of states at the Fermi level, the calculation gives 1.964 states/eV/atom.

Structure (CIF):
```
data_GdZrPa
_chemical_formula_sum 'Gd1 Zr1 Pa1'
_space_group_name_H-M_alt 'P -6 m 2'
_space_group_IT_number 187
_space_group_name_Hall 'P -6 2'
_cell_length_a 5.2988
_cell_length_b 5.2988
_cell_length_c 3.1810
_cell_angle_alpha 90.00
_cell_angle_beta 90.00
_cell_angle_gamma 120.00
loop_
_atom_site_label
_atom_site_type_symbol
_atom_site_fract_x
_atom_site_fract_y
_atom_site_fract_z
Gd1 Gd 0.0000 0.0000 0.0000
Zr1 Zr 0.6667 0.3333 0.5000
Pa1 Pa 0.3333 0.6667 0.0000
```

=====

No. 9
Below is La5CoTc after structural relaxation, with properties calculated at the PBE-GGA level.

Results
The calculation puts the uncorrected energy at -5.957 eV/atom. For the formation energy, the calculation gives 0.059 eV/atom. The calculation puts the mass density at 5.978 g/cm3. As for the size of the total moment: 0.00 μB/f.u. Its crystal system is monoclinic. For the density of states at the Fermi level, the calculation gives 1.056 states/eV/atom.

Structure (CIF):
```
data_La5CoTc
_chemical_formula_sum 'La20 Co4 Tc4'
_space_group_name_H-M_alt 'C 1 2/c 1'
_space_group_IT_number 15
_cell_length_a 11.730
_cell_length_b 8.536
_cell_length_c 10.351
_cell_angle_alpha 90.00
_cell_angle_beta 114.10
_cell_angle_gamma 90.00
loop_
_space_group_symop_operation_xyz
'x,y,z'
'-x,-y,-z'
'-x,y,-z+1/2'
'x,-y,z+1/2'
'x+1/2,y+1/2,z'
'-x+1/2,-y+1/2,-z'
'-x+1/2,y+1/2,-z+1/2'
'x+1/2,-y+1/2,z+1/2'
loop_
_atom_site_label
_atom_site_type_symbol
_atom_site_fract_x
_atom_site_fract_y
_atom_site_fract_z
La1 La 0.000 0.098 0.250
La2 La 0.043 0.312 0.958
La3 La 0.240 0.425 0.350
Co1 Co 0.000 0.446 0.250
Tc1 Tc 0.000 0.000 0.000
```

=====

No. 10
Below is PrSi3Au3 after structural relaxation, with properties calculated at the PBE-GGA level.

Results
The calculation puts the uncorrected energy at -4.540 eV/atom. The calculation puts the mass density at 8.525 g/cm3. As for the size of the total moment: 0.00 μB/f.u. Its crystal system is cubic. For the density of states at the Fermi level, the calculation gives 0.565 states/eV/atom.

Structure (CIF):
```
data_PrSi3Au3
_chemical_formula_sum 'Pr2 Si6 Au6'
_space_group_name_H-M_alt 'P m -3 n'
_space_group_IT_number 223
_space_group_name_Hall '-P 4n 2 3'
_cell_length_a 6.825
_cell_length_b 6.825
_cell_length_c 6.825
_cell_angle_alpha 90.00
_cell_angle_beta 90.00
_cell_angle_gamma 90.00
loop_
_atom_site_label
_atom_site_type_symbol
_atom_site_fract_x
_atom_site_fract_y
_atom_site_fract_z
Pr1 Pr 0.000 0.000 0.000
Si1 Si 0.000 0.250 0.500
Au1 Au 0.000 0.500 0.250
```

=====

No. 11
Below is SrCa4Pb5 after structural relaxation, with properties calculated at the PBE-GGA level.

Results
The calculation puts the uncorrected energy at -3.332 eV/atom. For the formation energy, the calculation gives -0.509 eV/atom. The calculation puts the mass density at 6.740 g/cm3. As for the size of the total moment: 0.00 μB/f.u. Its crystal system is tetragonal. For the density of states at the Fermi level, the calculation gives 0.508 states/eV/atom.

Structure (CIF):
```
data_SrCa4Pb5
_chemical_formula_sum 'Sr1 Ca4 Pb5'
_space_group_name_H-M_alt 'P 4/m m m'
_space_group_IT_number 123
_space_group_name_Hall '-P 4 2'
_cell_length_a 3.999
_cell_length_b 3.999
_cell_length_c 19.778
_cell_angle_alpha 90.00
_cell_angle_beta 90.00
_cell_angle_gamma 90.00
loop_
_atom_site_label
_atom_site_type_symbol
_atom_site_fract_x
_atom_site_fract_y
_atom_site_fract_z
Sr1 Sr 0.000 0.000 0.000
Ca1 Ca 0.000 0.000 0.207
Ca2 Ca 0.000 0.000 0.403
Pb1 Pb 0.500 0.500 0.111
Pb2 Pb 0.500 0.500 0.305
Pb3 Pb 0.500 0.500 0.500
```

=====

No. 12
Below is CaTbTe4Pb2 after structural relaxation, with properties calculated at the PBE-GGA level.

Results
The calculation puts the uncorrected energy at -4.198 eV/atom. The calculation puts the mass density at 6.887 g/cm3. As for the size of the total moment: 0.00 μB/f.u. Its crystal system is monoclinic. For the density of states at the Fermi level, the calculation gives 0.575 states/eV/atom.

Structure (CIF):
```
data_CaTbTe4Pb2
_chemical_formula_sum 'Ca1 Tb1 Te4 Pb2'
_space_group_name_H-M_alt 'P 1 2/m 1'
_space_group_IT_number 10
_cell_length_a 7.897
_cell_length_b 4.548
_cell_length_c 7.998
_cell_angle_alpha 90.00
_cell_angle_beta 109.37
_cell_angle_gamma 90.00
loop_
_space_group_symop_operation_xyz
'x,y,z'
'-x,-y,-z'
'-x,y,-z'
'x,-y,z'
loop_
_atom_site_label
_atom_site_type_symbol
_atom_site_fract_x
_atom_site_fract_y
_atom_site_fract_z
Ca1 Ca 0.000 0.000 0.000
Tb1 Tb 0.000 0.500 0.500
Te1 Te 0.236 0.000 0.739
Te2 Te 0.238 0.500 0.252
Pb1 Pb 0.500 0.000 0.500
Pb2 Pb 0.500 0.500 0.000
```